Density functional theory data (PBE-GGA) for crystalline PmYPb at its relaxed geometry.

Unit cell a=4.639 b=4.639 c=8.734 alpha=90.01 beta=89.99 gamma=90.00
Positions (direct):
Pb 0.250 0.750 0.722
Pm 0.250 0.750 0.345
Pb 0.750 0.250 0.278
Y 0.750 0.750 0.000
Pm 0.750 0.250 0.655
Y 0.250 0.250 0.000

Results
For the energy of formation from the pure elements, the calculation gives -0.46 eV/atom. The calculation puts the total magnetic moment at 0.000 Bohr magnetons per cell. For the final energy, the calculation gives -5.432 eV per atom. Its relative energy among the computed polymorphs is 0.0000 eV per atom.